# 1
## MgSbIr2 (PBE)

Data for MgSbIr2 after structural relaxation.

Calculated values
The spin magnetization comes out at 0.00 μB per cell. The calculation puts the density of states at the Fermi level at 0.657 states/eV/atom. The calculation puts the total energy at -5.780 eV per atom. For the energy relative to the elements, uncorrected, the calculation gives 0.080 eV per atom. For the density, the calculation gives 12.71 g cm⁻³.

Cell: 8.6300 8.6300 8.6300 Å, 20.55 20.55 20.55°
Closest atoms and distances in Å follow each position.
Element x y z (fractional)
Mg (0.0000, 0.0000, 0.0000)  6 Ir 2.79, 6 Mg 3.08
Sb (0.5000, 0.5000, 0.5000)  6 Ir 2.73
Ir (0.2487, 0.2487, 0.2487)  3 Sb 2.73, 3 Mg 2.79
Ir (0.7513, 0.7513, 0.7513)  3 Sb 2.73, 3 Mg 2.79



# 2
## CsBa2SrLi (PBE)

Data for CsBa2SrLi after structural relaxation.

Calculated values
The spin magnetization comes out at 0.00 μB per cell. The calculation puts the density of states at the Fermi level at 1.281 states/eV/atom. The calculation puts the total energy at -1.483 eV per atom. The value obtained for the energy relative to the elements is 0.176 eV/atom. For the density, the calculation gives 2.55 g cm⁻³.

Cell: 6.9244 6.9244 6.8284 Å, 90.00 90.00 90.00°
Closest atoms and distances in Å follow each position.
Element x y z (fractional)
Cs (0.0000, 0.0000, 0.0000)  8 Ba 4.86, 4 Sr 4.90
Ba (0.0000, 0.5000, 0.5000)  2 Li 3.46
Ba (0.5000, 0.0000, 0.5000)  2 Li 3.46
Sr (0.5000, 0.5000, 0.0000)  2 Li 3.41
Li (0.5000, 0.5000, 0.5000)  2 Sr 3.41, 4 Ba 3.46



# 3
## TlSiRu2 (PBE)

Data for TlSiRu2 after structural relaxation.

Calculated values
The spin magnetization comes out at 0.00 μB per cell. The calculation puts the density of states at the Fermi level at 0.727 states/eV/atom. The calculation puts the total energy at -6.333 eV per atom. The value obtained for the energy above the most stable polymorph in this dataset is 278 meV/atom. For the energy relative to the elements, uncorrected, the calculation gives 0.252 eV per atom. For the density, the calculation gives 11.65 g cm⁻³.

Cell: 4.4314 4.4314 3.1536 Å, 90.00 90.00 90.00°
Closest atoms and distances in Å follow each position.
Element x y z (fractional)
Tl (0.0000, 0.0000, 0.0000)  8 Ru 2.72
Si (0.5000, 0.5000, 0.0000)  8 Ru 2.72
Ru (0.0000, 0.5000, 0.5000)  4 Tl 2.72, 4 Si 2.72
Ru (0.5000, 0.0000, 0.5000)  4 Tl 2.72, 4 Si 2.72



# 4
## La2Si3Pd6 (PBE)

Data for La2Si3Pd6 after structural relaxation.

Calculated values
The spin magnetization comes out at 0.00 μB per cell. The calculation puts the density of states at the Fermi level at 0.662 states/eV/atom. The calculation puts the total energy at -6.036 eV per atom. For the energy relative to the elements, uncorrected, the calculation gives -0.828 eV per atom. For the density, the calculation gives 7.96 g cm⁻³.

Cell: 7.4089 7.4089 4.3891 Å, 90.00 90.00 120.00°
Closest atoms and distances in Å follow each position.
Element x y z (fractional)
La (0.3333, 0.6667, 0.0000)  9 Pd 3.02-3.37, 6 Si 3.24
La (0.6667, 0.3333, 0.0000)  9 Pd 3.02-3.37, 6 Si 3.24
Si (0.0000, 0.6410, 0.5000)  5 Pd 2.45-2.50
Si (0.3590, 0.3590, 0.5000)  5 Pd 2.45-2.50
Si (0.6410, 0.0000, 0.5000)  5 Pd 2.45-2.50
Pd (0.0000, 0.3100, 0.5000)  3 Si 2.45-2.50
Pd (0.0000, 0.7869, 0.0000)  2 Si 2.45, 2 Pd 2.74
Pd (0.2131, 0.2131, 0.0000)  2 Si 2.45, 2 Pd 2.74
Pd (0.3100, 0.0000, 0.5000)  3 Si 2.45-2.50
Pd (0.6900, 0.6900, 0.5000)  3 Si 2.45-2.50
Pd (0.7869, 0.0000, 0.0000)  2 Si 2.45, 2 Pd 2.74